Sr2AlGaCo2O7 GGA+U optimized geometry; raw total energy = -0.4625 Ry/atom; total magnetic moment = 12.00 Bohr magnetons per cell; symmetry = C2 (5)
1.0
11.412 -2.721 0.000
11.412 2.721 0.000
-1.399 0.000 5.476
Sr Al Ga Co O
4 2 2 4 14
Cartesian
3.242 0.000 0.675 Sr
7.543 -0.001 1.778 Sr
13.881 -0.001 3.698 Sr
18.182 0.000 4.800 Sr
10.712 0.004 2.738 Al
11.412 -2.713 0.000 Al
4.755 0.162 3.715 Ga
16.669 0.162 1.761 Ga
0.729 -0.008 3.046 Co
8.612 -0.006 5.065 Co
12.812 -0.006 0.411 Co
20.695 -0.008 2.430 Co
8.997 1.808 4.251 O
2.933 -0.159 3.936 O
12.427 1.808 1.224 O
9.812 1.001 1.496 O
6.243 -0.161 4.787 O
11.612 1.001 3.980 O
5.175 -0.684 2.074 O
9.233 -0.913 3.329 O
15.181 -0.161 0.689 O
12.191 -0.913 2.146 O
10.025 -1.719 0.661 O
18.491 -0.159 1.540 O
11.399 -1.719 4.815 O
16.249 -0.684 3.402 O